8
Lattice="-6.457 6.457 2.446 6.457 -6.457 2.446 6.457 6.457 -2.446" Properties=species:S:1:pos:R:3 comment="Cs2LiPd, relaxed, DFT GGA-PBEsol" spacegroup="I-42d, No. 122" m_tot_mub_per_cell=0.0 crystal_system=tetragonal e_form_ev_per_atom=0.15 pbc="T T T"
Cs -0.894 3.228 0.611
Cs 3.228 5.563 1.834
Cs 0.894 9.685 0.611
Cs -3.228 7.351 1.834
Li 6.457 0.000 1.223
Li 0.000 0.000 2.446
Pd 0.000 0.000 0.000
Pd 0.000 6.457 1.223